Record 1
MnCuSi2: optimized geometry, PBE.

Summary:
For the uncorrected formation energy, the calculation gives 0.041 eV per atom. For the uncorrected energy, the calculation gives -23.947 eV/cell.

Cell lengths 2.5944, 2.5944, 7.3162 Å; angles 90.00, 90.00, 90.00 degrees
Last column: nearest neighbours and their distance in Å.
Fractional coordinates of all 4 atoms:
1 Mn 0.0000 0.0000 0.0000  8 Si 2.49, 4 Mn 2.59
2 Cu 0.0000 0.0000 0.5000  4 Cu 2.59, 8 Si 2.70
3 Si 0.5000 0.5000 0.2300  4 Mn 2.49, 4 Si 2.59, 4 Cu 2.70
4 Si 0.5000 0.5000 0.7700  4 Mn 2.49, 4 Si 2.59, 4 Cu 2.70



Record 2
EuDy2Pd: optimized geometry, PBE.

Summary:
The energy above the most stable polymorph in this dataset comes out at 78 meV/atom. The energy of formation from the pure elements is -301 meV per atom. For the uncorrected energy, the calculation gives -25.874 eV/cell.

Cell lengths 9.6491, 9.6491, 9.6491 Å; angles 24.15, 24.15, 24.15 degrees
Last column: nearest neighbours and their distance in Å.
Fractional coordinates of all 4 atoms:
1 Eu 0.0000 0.0000 0.0000  6 Dy 3.90, 6 Eu 4.04
2 Dy 0.2221 0.2221 0.2221  3 Pd 2.80
3 Dy 0.7779 0.7779 0.7779  3 Pd 2.80
4 Pd 0.5000 0.5000 0.5000  6 Dy 2.80



Record 3
Ba8Pt3NCl3: optimized geometry, PBE.

Summary:
For the uncorrected formation energy, the calculation gives -1.147 eV per atom. For the uncorrected energy, the calculation gives -64.569 eV/cell.

Cell lengths 9.4559, 9.4559, 9.4559 Å; angles 56.90, 56.90, 56.90 degrees
Last column: nearest neighbours and their distance in Å.
Fractional coordinates of all 15 atoms:
1 Ba 0.2429 0.2429 0.2429  3 Pt 3.17, 3 Cl 3.37
2 Ba 0.2616 0.7202 0.7202  1 N 2.87, 2 Pt 3.15
3 Ba 0.2798 0.2798 0.7384  1 N 2.87, 2 Pt 3.15
4 Ba 0.2798 0.7384 0.2798  1 N 2.87, 2 Pt 3.15
5 Ba 0.7202 0.2616 0.7202  1 N 2.87, 2 Pt 3.15
6 Ba 0.7202 0.7202 0.2616  1 N 2.87, 2 Pt 3.15
7 Ba 0.7384 0.2798 0.2798  1 N 2.87, 2 Pt 3.15
8 Ba 0.7571 0.7571 0.7571  3 Pt 3.17, 3 Cl 3.37
9 Pt 0.0000 0.0000 0.5000  6 Ba 3.15-3.17
10 Pt 0.0000 0.5000 0.0000  6 Ba 3.15-3.17
11 Pt 0.5000 0.0000 0.0000  6 Ba 3.15-3.17
12 N 0.5000 0.5000 0.5000  6 Ba 2.87
13 Cl 0.0000 0.5000 0.5000  6 Ba 3.37-3.43
14 Cl 0.5000 0.0000 0.5000  6 Ba 3.37-3.43
15 Cl 0.5000 0.5000 0.0000  6 Ba 3.37-3.43



Record 4
SmHoTh2: optimized geometry, PBE.

Summary:
The energy above the most stable polymorph in this dataset comes out at 170 meV/atom. The energy of formation from the pure elements is 200 meV per atom. For the uncorrected energy, the calculation gives -23.336 eV/cell.

Cell lengths 12.5816, 12.5816, 12.5816 Å; angles 15.95, 15.95, 15.95 degrees
Last column: nearest neighbours and their distance in Å.
Fractional coordinates of all 4 atoms:
1 Sm 0.0000 0.0000 0.0000  2 Th 3.28, 6 Sm 3.49
2 Ho 0.5000 0.5000 0.5000  6 Ho 3.49, 6 Th 3.56
3 Th 0.0879 0.0879 0.0879  1 Sm 3.28, 6 Th 3.49, 3 Ho 3.56
4 Th 0.9121 0.9121 0.9121  1 Sm 3.28, 6 Th 3.49, 3 Ho 3.56



> Among the records above, which one has the highest uncorrected energy?

SmHoTh2